[1]
A geometry-optimized ZrScTcSn structure, computed with PBE.

a b c (Å): 6.719 6.719 6.719
angles (deg): 90.00 90.00 90.00
Space group F-43m (No. 216)
Symmetry-distinct sites (fractional):
1 Zr 0.000 0.000 0.000 [4 per cell]
2 Sc 0.250 0.250 0.250 [4 per cell]
3 Tc 0.250 0.250 0.750 [4 per cell]
4 Sn 0.000 0.000 0.500 [4 per cell]

=====

[2]
A geometry-optimized Sm2DyY2Tm structure, computed with PBE.

a b c (Å): 7.043 9.739 5.630
angles (deg): 90.00 90.00 90.00
Space group Pnnm (No. 58)
Symmetry-distinct sites (fractional):
1 Sm 0.249 0.166 0.000 [4 per cell]
2 Dy 0.000 0.500 0.000 [2 per cell]
3 Y 0.250 0.333 0.500 [4 per cell]
4 Tm 0.000 0.000 0.500 [2 per cell]

=====

[3]
A geometry-optimized CuNiOs structure, computed with PBE.

a b c (Å): 4.1462 4.1462 2.5208
angles (deg): 90.00 90.00 120.00
Space group P-6m2 (No. 187)
Symmetry-distinct sites (fractional):
1 Cu 0.0000 0.0000 0.0000 [1 per cell]
2 Ni 0.3333 0.6667 0.0000 [1 per cell]
3 Os 0.6667 0.3333 0.5000 [1 per cell]

=====

[4]
A geometry-optimized BeInSb2 structure, computed with PBE.

a b c (Å): 5.101 3.893 5.285
angles (deg): 90.00 112.44 90.00
Space group P2/m (No. 10)
Symmetry-distinct sites (fractional):
1 Be 0.000 0.000 0.000 [1 per cell]
2 In 0.500 0.000 0.500 [1 per cell]
3 Sb 0.190 0.500 0.807 [2 per cell]

Computed properties:
- Raw formation energy: 0.224 eV/atom

=====

[5]
A geometry-optimized SrBeCr2 structure, computed with PBE.

a b c (Å): 3.113 4.052 6.063
angles (deg): 90.00 103.27 90.00
Space group P2/m (No. 10)
Symmetry-distinct sites (fractional):
1 Sr 0.000 0.000 0.000 [1 per cell]
2 Be 0.500 0.000 0.500 [1 per cell]
3 Cr 0.295 0.500 0.625 [2 per cell]

=====

[6]
A geometry-optimized ZrTiTcRu structure, computed with PBE.

a b c (Å): 3.190 3.190 6.398
angles (deg): 90.00 90.00 90.00
Space group P4mm (No. 99)
Symmetry-distinct sites (fractional):
1 Zr 0.000 0.000 0.000 [1 per cell]
2 Ti 0.000 0.000 0.497 [1 per cell]
3 Tc 0.500 0.500 0.264 [1 per cell]
4 Ru 0.500 0.500 0.737 [1 per cell]

=====

[7]
A geometry-optimized Ba2SnTe5Pb structure, computed with PBE.

a b c (Å): 4.682 21.343 13.974
angles (deg): 90.00 90.00 90.00
Space group Cmc2_1 (No. 36)
Symmetry-distinct sites (fractional):
1 Ba 0.000 0.119 0.000 [4 per cell]
2 Ba 0.000 0.126 0.636 [4 per cell]
3 Sn 0.000 0.434 0.759 [4 per cell]
4 Te 0.000 0.043 0.378 [4 per cell]
5 Te 0.000 0.286 0.002 [4 per cell]
6 Te 0.000 0.315 0.676 [4 per cell]
7 Te 0.000 0.358 0.320 [4 per cell]
8 Te 0.000 0.498 0.088 [4 per cell]
9 Pb 0.000 0.216 0.348 [4 per cell]

Computed properties:
- Raw formation energy: -0.933 eV/atom

=====

[8]
A geometry-optimized MnGa3C structure, computed with PBE.

a b c (Å): 4.091 4.091 4.091
angles (deg): 90.00 90.00 90.00
Space group Pm-3m (No. 221)
Symmetry-distinct sites (fractional):
1 Mn 0.000 0.000 0.000 [1 per cell]
2 Ga 0.000 0.500 0.500 [3 per cell]
3 C 0.500 0.500 0.500 [1 per cell]

=====

[9]
A geometry-optimized HfTcRu structure, computed with PBE.

a b c (Å): 4.504 7.324 6.291
angles (deg): 90.00 90.00 90.00
Space group Ima2 (No. 46)
Symmetry-distinct sites (fractional):
1 Hf 0.250 0.187 0.000 [4 per cell]
2 Tc 0.250 0.583 0.185 [4 per cell]
3 Ru 0.250 0.587 0.800 [4 per cell]

=====

[10]
A geometry-optimized RbGaSn structure, computed with PBE.

a b c (Å): 6.132 6.132 14.701
angles (deg): 90.00 90.00 90.00
Space group P4_122 (No. 91)
Symmetry-distinct sites (fractional):
1 Rb 0.000 0.275 0.000 [4 per cell]
2 Ga 0.362 0.362 0.375 [4 per cell]
3 Sn 0.098 0.500 0.250 [4 per cell]

=====

[11]
A geometry-optimized Pr2NdMnSe5 structure, computed with PBE.

a b c (Å): 4.121 17.719 12.674
angles (deg): 90.00 90.00 90.00
Space group Cmc2_1 (No. 36)
Symmetry-distinct sites (fractional):
1 Pr 0.000 0.119 0.000 [4 per cell]
2 Pr 0.000 0.120 0.654 [4 per cell]
3 Nd 0.000 0.179 0.335 [4 per cell]
4 Mn 0.000 0.450 0.730 [4 per cell]
5 Se 0.000 0.011 0.325 [4 per cell]
6 Se 0.000 0.301 0.002 [4 per cell]
7 Se 0.000 0.315 0.663 [4 per cell]
8 Se 0.000 0.345 0.326 [4 per cell]
9 Se 0.000 0.493 0.056 [4 per cell]

Computed properties:
- Raw formation energy: -1.552 eV/atom

=====

[12]
A geometry-optimized CaAg2Pb structure, computed with PBE.

a b c (Å): 4.718 4.718 4.295
angles (deg): 90.00 90.00 90.00
Space group P4/mmm (No. 123)
Symmetry-distinct sites (fractional):
1 Ca 0.000 0.000 0.000 [1 per cell]
2 Ag 0.000 0.500 0.500 [2 per cell]
3 Pb 0.500 0.500 0.000 [1 per cell]

=====

[13]
A geometry-optimized CoHgP2S structure, computed with PBE.

a b c (Å): 4.238 4.238 5.192
angles (deg): 90.00 90.00 90.00
Space group P4/mmm (No. 123)
Symmetry-distinct sites (fractional):
1 Co 0.000 0.000 0.000 [1 per cell]
2 Hg 0.500 0.500 0.500 [1 per cell]
3 P 0.000 0.500 0.000 [2 per cell]
4 S 0.000 0.000 0.500 [1 per cell]

Computed properties:
- Raw formation energy: 0.456 eV/atom

=====

[14]
A geometry-optimized CaFe2Pb structure, computed with PBE.

a b c (Å): 4.430 4.430 7.992
angles (deg): 90.00 90.00 90.00
Space group I4/mmm (No. 139)
Symmetry-distinct sites (fractional):
1 Ca 0.000 0.000 0.000 [2 per cell]
2 Fe 0.000 0.500 0.250 [4 per cell]
3 Pb 0.000 0.000 0.500 [2 per cell]

=====

[15]
A geometry-optimized HoHfBeCo structure, computed with PBE.

a b c (Å): 6.497 6.497 6.497
angles (deg): 90.00 90.00 90.00
Space group F-43m (No. 216)
Symmetry-distinct sites (fractional):
1 Ho 0.000 0.000 0.000 [4 per cell]
2 Hf 0.000 0.000 0.500 [4 per cell]
3 Be 0.250 0.250 0.750 [4 per cell]
4 Co 0.250 0.250 0.250 [4 per cell]

=====

[16]
A geometry-optimized CdTeIr3 structure, computed with PBE.

a b c (Å): 4.859 4.859 4.859
angles (deg): 90.00 90.00 90.00
Space group Pm-3m (No. 221)
Symmetry-distinct sites (fractional):
1 Cd 0.000 0.000 0.000 [1 per cell]
2 Te 0.500 0.500 0.500 [1 per cell]
3 Ir 0.000 0.500 0.500 [3 per cell]

Computed properties:
- Raw formation energy: 1.422 eV/atom

=====

[17]
A geometry-optimized Th6SbIr2Se3 structure, computed with PBE.

a b c (Å): 18.723 4.178 8.834
angles (deg): 90.00 103.31 90.00
Space group C2/m (No. 12)
Symmetry-distinct sites (fractional):
1 Th 0.010 0.000 0.267 [4 per cell]
2 Th 0.173 0.500 0.110 [4 per cell]
3 Th 0.174 0.500 0.560 [4 per cell]
4 Sb 0.000 0.500 0.000 [2 per cell]
5 Ir 0.169 0.000 0.332 [4 per cell]
6 Se 0.000 0.500 0.500 [2 per cell]
7 Se 0.158 0.000 0.831 [4 per cell]

Computed properties:
- Raw formation energy: -1.258 eV/atom

=====

[18]
A geometry-optimized ZnPtRh3 structure, computed with PBE.

a b c (Å): 4.793 4.793 4.793
angles (deg): 90.00 90.00 90.00
Space group Pm-3m (No. 221)
Symmetry-distinct sites (fractional):
1 Zn 0.000 0.000 0.000 [1 per cell]
2 Pt 0.500 0.500 0.500 [1 per cell]
3 Rh 0.000 0.500 0.500 [3 per cell]

=====

[19]
A geometry-optimized Cu2SiGe structure, computed with PBE.

a b c (Å): 2.9060 2.9060 23.1652
angles (deg): 90.00 90.00 120.00
Space group R-3m (No. 166, hexagonal axes)
Symmetry-distinct sites (fractional):
1 Cu 0.0000 0.0000 0.2457 [6 per cell]
2 Si 0.0000 0.0000 0.5000 [3 per cell]
3 Ge 0.0000 0.0000 0.0000 [3 per cell]

Computed properties:
- Raw formation energy: 0.124 eV/atom

=====

[20]
A geometry-optimized ThZrAg2 structure, computed with PBE.

a b c (Å): 3.484 3.484 7.653
angles (deg): 90.00 90.00 90.00
Space group P4/mmm (No. 123)
Symmetry-distinct sites (fractional):
1 Th 0.000 0.000 0.000 [1 per cell]
2 Zr 0.000 0.000 0.500 [1 per cell]
3 Ag 0.500 0.500 0.286 [2 per cell]

=====

[21]
A geometry-optimized CsSrNpF6 structure, computed with PBE.

a b c (Å): 6.6007 6.6007 11.5722
angles (deg): 90.00 90.00 120.00
Space group P-31c (No. 163)
Symmetry-distinct sites (fractional):
1 Cs 0.0000 0.0000 0.0000 [2 per cell]
2 Sr 0.3333 0.6667 0.2500 [2 per cell]
3 Np 0.3333 0.6667 0.7500 [2 per cell]
4 F 0.0155 0.3914 0.6471 [12 per cell]

Computed properties:
- Raw formation energy: -3.414 eV/atom

=====

[22]
A geometry-optimized Li2SmAg structure, computed with PBE.

a b c (Å): 3.1699 3.1699 31.3991
angles (deg): 90.00 90.00 120.00
Space group R-3m (No. 166, hexagonal axes)
Symmetry-distinct sites (fractional):
1 Li 0.0000 0.0000 0.0993 [6 per cell]
2 Sm 0.0000 0.0000 0.0000 [3 per cell]
3 Ag 0.0000 0.0000 0.5000 [3 per cell]

=====

[23]
A geometry-optimized MnNiCl structure, computed with PBE.

a b c (Å): 2.979 3.040 5.299
angles (deg): 90.00 90.00 90.00
Space group Pmm2 (No. 25)
Symmetry-distinct sites (fractional):
1 Mn 0.000 0.000 0.000 [1 per cell]
2 Ni 0.500 0.500 0.733 [1 per cell]
3 Cl 0.500 0.000 0.368 [1 per cell]

Computed properties:
- Raw formation energy: 0.016 eV/atom

=====

[24]
A geometry-optimized SrSbTe2As structure, computed with PBE.

a b c (Å): 5.681 5.681 5.241
angles (deg): 90.00 90.00 90.00
Space group P4/mmm (No. 123)
Symmetry-distinct sites (fractional):
1 Sr 0.000 0.000 0.000 [1 per cell]
2 Sb 0.500 0.500 0.000 [1 per cell]
3 Te 0.000 0.500 0.500 [2 per cell]
4 As 0.500 0.500 0.500 [1 per cell]

Computed properties:
- Raw formation energy: -0.237 eV/atom

=====

[25]
A geometry-optimized Sc4Pb3 structure, computed with PBE.

a b c (Å): 6.1289 6.1289 5.4830
angles (deg): 90.00 90.00 120.00
Space group P6/mmm (No. 191)
Symmetry-distinct sites (fractional):
1 Sc 0.0000 0.0000 0.2407 [2 per cell]
2 Sc 0.3333 0.6667 0.0000 [2 per cell]
3 Pb 0.0000 0.5000 0.5000 [3 per cell]

=====

[26]
A geometry-optimized UI2F structure, computed with PBE.

a b c (Å): 7.326 4.256 8.786
angles (deg): 90.00 106.13 90.00
Space group Cm (No. 8)
Symmetry-distinct sites (fractional):
1 U 0.000 0.000 0.000 [2 per cell]
2 I 0.247 0.000 0.737 [2 per cell]
3 I 0.422 0.000 0.263 [2 per cell]
4 F 0.164 0.500 0.000 [2 per cell]

Computed properties:
- Raw formation energy: -1.700 eV/atom

=====

no.,total DFT energy (no corrections) (eV/f.u.)
1,-30.8
2,-31.0
3,-20.1
4,-13.8
5,-21.6
6,-38.2
7,-35.7
8,-21.7
9,-30.2
10,-7.8
11,-54.9
12,-12.2
13,-20.1
14,-20.7
15,-25.6
16,-23.5
17,-91.9
18,-22.6
19,-17.7
20,-21.6
21,-57.4
22,-10.9
23,-16.8
24,-17.9
25,-37.0
26,-23.1